(1)
This record from Alexandria via LeMat-Bulk describes crystalline ZrCd3Te at its relaxed geometry. The functional is PBE-GGA.

```
ZrCd3Te
1.0
-0.350 -3.715 4.217
5.615 -0.401 0.113
0.226 4.212 3.730
Te Zr Cd
1 1 3
Direct
0.500 0.500 0.500
0.000 0.000 0.000
0.000 0.500 0.000
0.000 0.000 0.500
0.500 0.000 0.000
```

Calculated values
Theoretical density, Mg/m³: 5.2
Total moment, μB per formula unit: 0.000
V, Å³ per atom: 35.699

(2)
This record from Alexandria via LeMat-Bulk describes crystalline ZrCd3Te at its relaxed geometry. The functional is PBE-GGA.

```
ZrCd3Te
1.0
5.529 0.000 0.000
0.000 5.529 0.000
0.000 0.000 5.529
Te Zr Cd
1 1 3
Direct
0.000 0.000 0.000
0.500 0.500 0.500
0.000 0.500 0.000
0.000 0.000 0.500
0.500 0.000 0.000
```

Calculated values
Theoretical density, Mg/m³: 5.5
Total moment, μB per formula unit: 2.399
V, Å³ per atom: 33.806

Most stable pick: (1). Distance to second place: 178 meV per atom.

(1)
This record from Alexandria via LeMat-Bulk describes crystalline ThCd4 at its relaxed geometry. The functional is PBE-GGA.

```
ThCd4
1.0
-3.346 4.119 -1.796
-1.664 -5.183 -8.789
-8.123 -4.716 4.319
Th Cd
4 16
Direct
0.000 0.113 0.613
0.000 0.613 0.887
0.000 0.387 0.113
0.000 0.887 0.387
0.500 0.898 0.602
0.500 0.602 0.102
0.500 0.398 0.898
0.500 0.102 0.398
0.500 0.199 0.114
0.500 0.114 0.801
0.500 0.886 0.199
0.500 0.801 0.886
0.500 0.301 0.614
0.500 0.699 0.386
0.500 0.614 0.699
0.500 0.386 0.301
0.228 0.000 0.000
0.772 0.500 0.500
0.772 0.000 0.000
0.228 0.500 0.500
```

Calculated values
Theoretical density, Mg/m³: 7.6
Total moment, μB per formula unit: 0.614
V, Å³ per atom: 29.940

(2)
This record from Alexandria via LeMat-Bulk describes crystalline ThCd4 at its relaxed geometry. The functional is PBE-GGA.

```
ThCd4
1.0
-0.780 4.849 0.095
1.114 0.310 -6.658
-7.513 -3.737 1.998
Th Cd
2 8
Direct
0.890 0.140 0.780
0.110 0.860 0.220
0.109 0.359 0.219
0.891 0.641 0.781
0.500 0.000 0.000
0.500 0.500 0.000
0.698 0.206 0.397
0.302 0.794 0.603
0.302 0.309 0.603
0.698 0.691 0.397
```

Calculated values
Theoretical density, Mg/m³: 9.0
Total moment, μB per formula unit: 0.000
V, Å³ per atom: 25.053

Most stable pick: (2). Distance to second place: 429 meV per atom.

(1)
This record from Alexandria via LeMat-Bulk describes crystalline Th3Cd at its relaxed geometry. The functional is PBE-GGA.

```
Th3Cd
1.0
3.500 0.000 0.000
0.000 3.500 0.000
0.000 0.000 9.933
Th Cd
3 1
Direct
0.000 0.000 0.500
0.500 0.500 0.236
0.500 0.500 0.764
0.000 0.000 0.000
```

Calculated values
Theoretical density, Mg/m³: 11.0
Total moment, μB per formula unit: 0.000
V, Å³ per atom: 30.412

(2)
This record from Alexandria via LeMat-Bulk describes crystalline Th3Cd at its relaxed geometry. The functional is PBE-GGA.

```
Th3Cd
1.0
3.566 0.000 0.000
0.000 5.820 0.000
0.000 0.000 5.820
Th Cd
3 1
Direct
0.500 0.084 0.000
0.500 0.582 0.500
0.000 0.082 0.500
0.000 0.585 0.000
```

Calculated values
Theoretical density, Mg/m³: 11.1
Total moment, μB per formula unit: 0.000
V, Å³ per atom: 30.201

Most stable pick: (1). Distance to second place: 8 meV per atom.

(1)
This record from Alexandria via LeMat-Bulk describes crystalline Th3Cd at its relaxed geometry. The functional is PBE-GGA.

```
Th3Cd
1.0
5.562 0.000 0.000
2.781 4.817 0.000
2.781 1.606 4.541
Th Cd
3 1
Direct
0.000 0.000 0.000
0.750 0.750 0.750
0.250 0.250 0.250
0.500 0.500 0.500
```

Calculated values
Theoretical density, Mg/m³: 11.0
Total moment, μB per formula unit: 0.000
V, Å³ per atom: 30.411

(2)
This record from Alexandria via LeMat-Bulk describes crystalline Th3Cd at its relaxed geometry. The functional is PBE-GGA.

```
Th3Cd
1.0
3.582 0.000 0.000
0.000 4.612 0.000
0.000 0.000 7.275
Th Cd
3 1
Direct
0.000 0.000 0.500
0.500 0.500 0.238
0.500 0.500 0.762
0.000 0.000 0.000
```

Calculated values
Theoretical density, Mg/m³: 11.2
Total moment, μB per formula unit: 0.000
V, Å³ per atom: 30.040

Most stable pick: (2). Distance to second place: 137 meV per atom.

(1)
This record from Alexandria via LeMat-Bulk describes crystalline ThCd6 at its relaxed geometry. The functional is PBE-GGA.

```
ThCd6
1.0
6.558 0.000 0.000
-2.186 6.183 0.000
-2.186 -3.091 5.355
Th Cd
1 6
Direct
0.000 0.000 0.000
0.250 0.750 0.500
0.500 0.750 0.250
0.250 0.500 0.750
0.750 0.250 0.500
0.500 0.250 0.750
0.750 0.500 0.250
```

Calculated values
Theoretical density, Mg/m³: 6.9
Total moment, μB per formula unit: 0.198
V, Å³ per atom: 31.015

(2)
This record from Alexandria via LeMat-Bulk describes crystalline ThCd6 at its relaxed geometry. The functional is PBE-GGA.

```
ThCd6
1.0
4.899 0.000 0.000
0.000 4.899 0.000
0.000 0.000 7.469
Th Cd
1 6
Direct
0.000 0.000 0.000
0.000 0.000 0.500
0.500 0.500 0.000
0.500 0.000 0.713
0.000 0.500 0.287
0.500 0.000 0.287
0.000 0.500 0.713
```

Calculated values
Theoretical density, Mg/m³: 8.4
Total moment, μB per formula unit: 0.000
V, Å³ per atom: 25.604

Most stable pick: (2). Distance to second place: 657 meV per atom.

(1)
This record from Alexandria via LeMat-Bulk describes crystalline Th2Cd3 at its relaxed geometry. The functional is PBE-GGA.

```
Th2Cd3
1.0
-0.402 -1.058 3.242
-4.446 -2.039 -1.216
7.221 -12.720 -5.074
Th Cd
4 6
Direct
0.282 0.750 0.564
0.718 0.250 0.436
0.572 0.750 0.145
0.428 0.250 0.855
0.171 0.750 0.342
0.829 0.250 0.658
0.879 0.750 0.759
0.121 0.250 0.241
0.024 0.250 0.048
0.976 0.750 0.952
```

Calculated values
Theoretical density, Mg/m³: 10.0
Total moment, μB per formula unit: 0.000
V, Å³ per atom: 26.626

(2)
This record from Alexandria via LeMat-Bulk describes crystalline Th2Cd3 at its relaxed geometry. The functional is PBE-GGA.

```
Th2Cd3
1.0
5.246 0.000 0.000
2.623 4.543 0.000
2.623 1.514 5.665
Th Cd
2 3
Direct
0.404 0.404 0.789
0.596 0.596 0.211
0.000 0.000 0.000
0.815 0.815 0.556
0.185 0.185 0.444
```

Calculated values
Theoretical density, Mg/m³: 9.9
Total moment, μB per formula unit: 0.000
V, Å³ per atom: 27.004

Most stable pick: (1). Distance to second place: 96 meV per atom.